## VPb2Cl2O4 (GGA+U)

Data for a relaxed structure of VPb2Cl2O4.

Computed properties:
VASP energy, eV/atom: -5.22

Geometry as CIF:
```
data_VPb2Cl2O4
_symmetry_space_group_name_H-M 'P 1'
_symmetry_Int_Tables_number 1
_symmetry_space_group_name_Hall 'P 1'
_cell_length_a 5.9769
_cell_length_b 5.9769
_cell_length_c 5.9769
_cell_angle_alpha 93.19
_cell_angle_beta 118.18
_cell_angle_gamma 118.18
loop_
_atom_site_label
_atom_site_fract_x
_atom_site_fract_y
_atom_site_fract_z
V1 0.0000 0.0000 0.0000
Pb1 0.5000 0.7500 0.2500
Pb2 0.5000 0.2500 0.7500
Cl1 0.0000 0.7053 0.7053
Cl2 0.0000 0.2947 0.2947
O1 0.0000 0.7908 0.2092
O2 0.5815 0.7908 0.7908
O3 0.0000 0.2092 0.7908
O4 0.4185 0.2092 0.2092
```